LiLuSc: relaxed, PBE.

Space-group type: F-43m (216)
Calculated volume (Å³ per cell): 78.84
Final energy (eV for the cell shown): -11.04
Relative energy among the computed polymorphs (meV per atom): 0.0

Cell and atoms, written as POSCAR:
```
LiLuSc
1.0
0.0000 3.4033 3.4033
3.4033 0.0000 3.4033
3.4033 3.4033 0.0000
Li Lu Sc
1 1 1
Direct
0.0000 0.0000 0.0000
0.7500 0.7500 0.7500
0.2500 0.2500 0.2500
```

Pr2SbS2F: relaxed, PBE.

Space-group type: P-4m2 (115)
Calculated volume (Å³ per cell): 138.97
Final energy (eV for the cell shown): -34.15

Cell and atoms, written as POSCAR:
```
Pr2SbS2F
1.0
3.9657 0.0000 0.0000
0.0000 3.9657 0.0000
0.0000 0.0000 8.8364
Pr Sb S F
2 1 2 1
Direct
0.0000 0.5000 0.2038
0.5000 0.0000 0.7962
0.0000 0.0000 0.5000
0.0000 0.5000 0.8701
0.5000 0.0000 0.1299
0.5000 0.5000 0.5000
```

no.,size of the total moment (μB per formula unit)
1,0.05
2,0.00